# Y6Te3Pt2Au PBE optimized geometry
data_Y6Te3Pt2Au
_symmetry_space_group_name_H-M 'P 1'
_symmetry_Int_Tables_number 1
_cell_length_a 7.226
_cell_length_b 7.226
_cell_length_c 7.729
_cell_angle_alpha 98.97
_cell_angle_beta 98.97
_cell_angle_gamma 120.04
loop_
_symmetry_equiv_pos_as_xyz
'x,y,z'
loop_
_atom_site_label
_atom_site_type_symbol
_atom_site_fract_x
_atom_site_fract_y
_atom_site_fract_z
Y1 Y 0.079 0.427 0.780
Y2 Y 0.224 0.224 0.216
Y3 Y 0.427 0.079 0.780
Y4 Y 0.573 0.921 0.220
Y5 Y 0.776 0.776 0.784
Y6 Y 0.921 0.573 0.220
Te1 Te 0.000 0.000 0.500
Te2 Te 0.338 0.662 0.500
Te3 Te 0.662 0.338 0.500
Pt1 Pt 0.168 0.832 0.000
Pt2 Pt 0.832 0.168 0.000
Au1 Au 0.500 0.500 0.000
# - Raw formation energy: -1.20 eV per atom
# - Calculated total energy: -78.01 eV/cell
# - Total magnetization: 0.0 μB/f.u.
# - Crystal system: monoclinic